! K2Rb2Hg PBE relaxed; values from VASP
&SYSTEM
  ibrav = 0, nat = 5, ntyp = 3
/
ATOMIC_SPECIES
K 39.10 K.upf
Hg 200.59 Hg.upf
Rb 85.47 Rb.upf
CELL_PARAMETERS angstrom
-2.238 4.405 3.035
-4.357 -3.410 1.736
2.852 -2.693 11.550
ATOMIC_POSITIONS crystal
K 0.414 0.414 0.171
K 0.586 0.586 0.829
Hg 0.000 0.000 0.000
Rb 0.750 0.250 0.500
Rb 0.250 0.750 0.500
! Energy above the lowest structure with this stoichiometry, eV/atom: 0.209
! Magnetic moment, μB/f.u.: 0.00


! K2RbHg10 PBE relaxed; values from VASP
&SYSTEM
  ibrav = 0, nat = 26, ntyp = 3
/
ATOMIC_SPECIES
K 39.10 K.upf
Rb 85.47 Rb.upf
Hg 200.59 Hg.upf
CELL_PARAMETERS angstrom
6.369 0.000 0.000
0.000 10.069 0.000
0.000 0.000 15.760
ATOMIC_POSITIONS crystal
K 0.500 0.471 0.864
K 0.500 0.529 0.136
K 0.500 0.971 0.636
K 0.500 0.029 0.364
Rb 0.000 0.500 0.500
Rb 0.000 0.000 0.000
Hg 0.000 0.127 0.553
Hg 0.000 0.873 0.447
Hg 0.000 0.627 0.947
Hg 0.000 0.373 0.053
Hg 0.000 0.047 0.754
Hg 0.000 0.953 0.246
Hg 0.268 0.196 0.176
Hg 0.268 0.804 0.824
Hg 0.732 0.696 0.324
Hg 0.732 0.304 0.676
Hg 0.732 0.804 0.824
Hg 0.732 0.196 0.176
Hg 0.268 0.304 0.676
Hg 0.268 0.696 0.324
Hg 0.000 0.702 0.133
Hg 0.000 0.298 0.867
Hg 0.000 0.202 0.367
Hg 0.000 0.798 0.633
Hg 0.000 0.453 0.254
Hg 0.000 0.547 0.746
! Magnetic moment, μB/f.u.: 0.00
! E, eV per atom: -0.621


! K6RbHg2 PBE relaxed; values from VASP
&SYSTEM
  ibrav = 0, nat = 9, ntyp = 3
/
ATOMIC_SPECIES
K 39.10 K.upf
Rb 85.47 Rb.upf
Hg 200.59 Hg.upf
CELL_PARAMETERS angstrom
-5.387 -0.222 -4.425
-4.415 -0.304 5.390
-0.558 10.670 0.145
ATOMIC_POSITIONS crystal
K 0.000 0.500 0.239
K 0.500 0.000 0.239
K 0.000 0.500 0.761
K 0.500 0.000 0.761
K 0.500 0.500 0.500
K 0.000 0.000 0.500
Rb 0.000 0.000 0.000
Hg 0.500 0.500 0.140
Hg 0.500 0.500 0.860
! Energy above the lowest structure with this stoichiometry, eV/atom: 0.034
! Magnetic moment, μB/f.u.: 0.00


! K7Rb4Hg PBE relaxed; values from VASP
&SYSTEM
  ibrav = 0, nat = 12, ntyp = 3
/
ATOMIC_SPECIES
K 39.10 K.upf
Rb 85.47 Rb.upf
Hg 200.59 Hg.upf
CELL_PARAMETERS angstrom
7.020 0.000 0.000
-3.510 7.420 -1.757
0.000 -0.329 16.827
ATOMIC_POSITIONS crystal
K 0.236 0.473 0.090
K 0.764 0.527 0.910
K 0.398 0.797 0.374
K 0.602 0.203 0.626
K 0.134 0.269 0.463
K 0.500 0.000 0.000
K 0.866 0.731 0.537
Rb 0.054 0.108 0.803
Rb 0.946 0.892 0.197
Rb 0.666 0.332 0.272
Rb 0.334 0.668 0.728
Hg 0.000 0.000 0.000
! Magnetic moment, μB/f.u.: 0.00
! E, eV per atom: -1.016


! KRb2Hg PBE relaxed; values from VASP
&SYSTEM
  ibrav = 0, nat = 4, ntyp = 3
/
ATOMIC_SPECIES
K 39.10 K.upf
Hg 200.59 Hg.upf
Rb 85.47 Rb.upf
CELL_PARAMETERS angstrom
-3.076 3.622 -0.071
-1.548 1.722 -4.150
-13.319 -8.218 -1.162
ATOMIC_POSITIONS crystal
K 0.500 0.500 0.500
Hg 0.000 0.000 0.000
Rb 0.082 0.082 0.755
Rb 0.918 0.918 0.245
! Magnetic moment, μB/f.u.: 0.00
! E, eV per atom: -0.787


! K9Rb6Hg PBE relaxed; values from VASP
&SYSTEM
  ibrav = 0, nat = 16, ntyp = 3
/
ATOMIC_SPECIES
K 39.10 K.upf
Rb 85.47 Rb.upf
Hg 200.59 Hg.upf
CELL_PARAMETERS angstrom
9.892 0.000 -5.477
-3.032 9.416 -5.477
0.365 0.502 12.332
ATOMIC_POSITIONS crystal
K 0.978 0.773 0.333
K 0.355 0.560 0.333
K 0.773 0.355 0.333
K 0.560 0.978 0.333
K 0.022 0.227 0.667
K 0.645 0.440 0.667
K 0.227 0.645 0.667
K 0.440 0.022 0.667
K 0.500 0.500 0.000
Rb 0.695 0.887 0.000
Rb 0.305 0.113 0.000
Rb 0.887 0.305 0.000
Rb 0.113 0.695 0.000
Rb 0.809 0.809 0.617
Rb 0.191 0.191 0.383
Hg 0.000 0.000 0.000
! Magnetic moment, μB/f.u.: 0.00
! E, eV per atom: -1.013


! K2Rb2Hg PBE relaxed; values from VASP
&SYSTEM
  ibrav = 0, nat = 5, ntyp = 3
/
ATOMIC_SPECIES
K 39.10 K.upf
Hg 200.59 Hg.upf
Rb 85.47 Rb.upf
CELL_PARAMETERS angstrom
-0.095 4.800 2.584
-4.068 1.658 -3.229
-10.053 -1.131 7.484
ATOMIC_POSITIONS crystal
K 0.750 0.250 0.500
K 0.250 0.750 0.500
Hg 0.000 0.000 0.000
Rb 0.414 0.414 0.172
Rb 0.586 0.586 0.828
! Energy above the lowest structure with this stoichiometry, eV/atom: 0.145
! Magnetic moment, μB/f.u.: 0.00


! K5Rb12Hg2 PBE relaxed; values from VASP
&SYSTEM
  ibrav = 0, nat = 19, ntyp = 3
/
ATOMIC_SPECIES
K 39.10 K.upf
Rb 85.47 Rb.upf
Hg 200.59 Hg.upf
CELL_PARAMETERS angstrom
8.998 0.000 -3.643
-1.504 11.606 -3.715
0.534 -0.491 14.253
ATOMIC_POSITIONS crystal
K 0.755 0.505 0.510
K 0.754 0.002 0.508
K 0.000 0.500 0.000
K 0.246 0.998 0.492
K 0.245 0.495 0.490
Rb 0.028 0.857 0.056
Rb 0.881 0.172 0.283
Rb 0.402 0.172 0.283
Rb 0.890 0.664 0.294
Rb 0.404 0.664 0.294
Rb 0.506 0.289 0.012
Rb 0.494 0.711 0.988
Rb 0.110 0.336 0.706
Rb 0.596 0.336 0.706
Rb 0.119 0.828 0.717
Rb 0.598 0.828 0.717
Rb 0.972 0.143 0.944
Hg 0.344 0.000 0.000
Hg 0.656 0.000 0.000
! Magnetic moment, μB/f.u.: 0.00
! E, eV per atom: -0.946


! KRb4Hg2 PBE relaxed; values from VASP
&SYSTEM
  ibrav = 0, nat = 7, ntyp = 3
/
ATOMIC_SPECIES
K 39.10 K.upf
Hg 200.59 Hg.upf
Rb 85.47 Rb.upf
CELL_PARAMETERS angstrom
7.486 0.000 0.000
0.000 7.486 0.000
-3.743 -3.743 9.431
ATOMIC_POSITIONS crystal
K 0.000 0.000 0.000
Hg 0.579 0.579 0.158
Hg 0.421 0.421 0.842
Rb 0.767 0.767 0.533
Rb 0.233 0.233 0.467
Rb 0.000 0.500 0.000
Rb 0.500 0.000 0.000
! Energy above the lowest structure with this stoichiometry, eV/atom: 0.155
! Magnetic moment, μB/f.u.: 0.00


! K5Rb5Hg2 PBE relaxed; values from VASP
&SYSTEM
  ibrav = 0, nat = 12, ntyp = 3
/
ATOMIC_SPECIES
K 39.10 K.upf
Rb 85.47 Rb.upf
Hg 200.59 Hg.upf
CELL_PARAMETERS angstrom
5.125 0.000 0.000
-2.563 8.342 -1.737
0.000 -1.673 19.748
ATOMIC_POSITIONS crystal
K 0.892 0.784 0.310
K 0.357 0.713 0.828
K 0.643 0.287 0.172
K 0.108 0.216 0.690
K 0.000 0.000 0.000
Rb 0.500 0.000 0.500
Rb 0.342 0.684 0.104
Rb 0.178 0.355 0.379
Rb 0.822 0.645 0.621
Rb 0.658 0.316 0.896
Hg 0.993 0.986 0.812
Hg 0.007 0.014 0.188
! Magnetic moment, μB/f.u.: 0.00
! E, eV per atom: -0.962


! KRb2Hg PBE relaxed; values from VASP
&SYSTEM
  ibrav = 0, nat = 16, ntyp = 3
/
ATOMIC_SPECIES
K 39.10 K.upf
Rb 85.47 Rb.upf
Hg 200.59 Hg.upf
CELL_PARAMETERS angstrom
-1.206 -5.952 -5.568
8.994 -3.327 1.608
-4.176 -7.155 8.553
ATOMIC_POSITIONS crystal
K 0.639 0.535 0.250
K 0.861 0.035 0.250
K 0.361 0.465 0.750
K 0.139 0.965 0.750
Rb 0.160 0.676 0.062
Rb 0.340 0.176 0.438
Rb 0.840 0.324 0.562
Rb 0.660 0.824 0.938
Rb 0.840 0.324 0.938
Rb 0.660 0.824 0.562
Rb 0.160 0.676 0.438
Rb 0.340 0.176 0.062
Hg 0.040 0.375 0.250
Hg 0.460 0.875 0.250
Hg 0.960 0.625 0.750
Hg 0.540 0.125 0.750
! Magnetic moment, μB/f.u.: 0.00
! E, eV per atom: -0.964